Record 1
Entry from Alexandria: an optimized crystal structure of NaSi2Pt2 (PBE).

Energy: -5.361 eV per atom
Relative energy among the computed polymorphs: 115 meV/atom
Total magnetic moment: 0.00 μB per formula unit

Lattice parameters (Å, degrees): 5.237 5.253 8.004 99.99 99.88 117.93
Sites, in units of the cell vectors:
1 Na 0.125 0.375 0.250
2 Na 0.875 0.625 0.750
3 Si 0.247 0.998 0.496
4 Si 0.498 0.747 0.995
5 Si 0.502 0.253 0.005
6 Si 0.753 0.002 0.504
7 Pt 0.208 0.290 0.751
8 Pt 0.458 0.040 0.250
9 Pt 0.542 0.960 0.750
10 Pt 0.792 0.710 0.249

Record 2
Entry from Alexandria: an optimized crystal structure of Dy4IrRu (PBE).

Energy: -6.641 eV per atom
Total magnetic moment: 0.00 μB per formula unit

Lattice parameters (Å, degrees): 7.854 7.854 6.313 108.86 108.86 110.53
Sites, in units of the cell vectors:
1 Dy 0.046 0.693 0.903
2 Dy 0.242 0.368 0.734
3 Dy 0.307 0.954 0.597
4 Dy 0.368 0.242 0.234
5 Dy 0.632 0.758 0.766
6 Dy 0.693 0.046 0.403
7 Dy 0.758 0.632 0.266
8 Dy 0.954 0.307 0.097
9 Ir 0.365 0.635 0.250
10 Ir 0.635 0.365 0.750
11 Ru 0.000 0.000 0.250
12 Ru 0.000 0.000 0.750

Record 3
Entry from Alexandria: an optimized crystal structure of Mg2SnPt2 (PBE).

Energy: -4.308 eV per atom
Total magnetic moment: 0.00 μB per formula unit

Lattice parameters (Å, degrees): 6.766 6.766 6.766 145.47 145.47 49.63
Sites, in units of the cell vectors:
1 Mg 0.250 0.750 0.500
2 Mg 0.750 0.250 0.500
3 Sn 0.000 0.000 0.000
4 Pt 0.392 0.392 0.000
5 Pt 0.608 0.608 0.000

Record 4
Entry from Alexandria: an optimized crystal structure of Ho8TlIn2 (PBE).

Energy: -4.279 eV per atom
Relative energy among the computed polymorphs: 0 meV/atom
Total magnetic moment: 0.00 μB per formula unit

Lattice parameters (Å, degrees): 8.541 8.541 8.535 119.25 119.25 36.20
Sites, in units of the cell vectors:
1 Ho 0.064 0.064 0.218
2 Ho 0.139 0.139 0.684
3 Ho 0.319 0.319 0.556
4 Ho 0.408 0.408 0.046
5 Ho 0.592 0.592 0.954
6 Ho 0.681 0.681 0.444
7 Ho 0.861 0.861 0.316
8 Ho 0.936 0.936 0.782
9 Tl 0.500 0.500 0.500
10 In 0.224 0.224 0.119
11 In 0.776 0.776 0.881

Record 5
Entry from Alexandria: an optimized crystal structure of SiSbS2 (PBE).

Energy: -4.284 eV per atom
Relative energy among the computed polymorphs: 326 meV/atom
Total magnetic moment: 0.00 μB per formula unit

Lattice parameters (Å, degrees): 5.973 5.973 5.973 107.84 107.84 112.79
Sites, in units of the cell vectors:
1 Si 0.000 0.000 0.000
2 Si 0.750 0.250 0.500
3 Sb 0.250 0.750 0.500
4 Sb 0.500 0.500 0.000
5 S 0.081 0.125 0.456
6 S 0.375 0.919 0.044
7 S 0.669 0.625 0.544
8 S 0.875 0.331 0.956

Record 6
Entry from Alexandria: an optimized crystal structure of RbSc2ReO8 (PBE).

Energy: -7.643 eV per atom
Total magnetic moment: 0.00 μB per formula unit

Lattice parameters (Å, degrees): 4.803 4.803 7.286 90.00 90.00 90.04
Sites, in units of the cell vectors:
1 Rb 0.000 0.000 0.000
2 Sc 0.500 0.500 0.284
3 Sc 0.500 0.500 0.716
4 Re 0.000 0.000 0.500
5 O 0.195 0.195 0.319
6 O 0.195 0.195 0.681
7 O 0.290 0.710 0.500
8 O 0.390 0.610 0.000
9 O 0.610 0.390 0.000
10 O 0.710 0.290 0.500
11 O 0.805 0.805 0.319
12 O 0.805 0.805 0.681

Record 7
Entry from Alexandria: an optimized crystal structure of NaCd (PBE).

Energy: -1.178 eV per atom
Total magnetic moment: 0.00 μB per formula unit

Lattice parameters (Å, degrees): 9.191 9.191 4.835 90.00 90.00 120.00
Sites, in units of the cell vectors:
1 Na 0.171 0.343 0.250
2 Na 0.171 0.829 0.250
3 Na 0.343 0.171 0.750
4 Na 0.657 0.829 0.250
5 Na 0.829 0.171 0.750
6 Na 0.829 0.657 0.750
7 Cd 0.116 0.558 0.750
8 Cd 0.442 0.558 0.750
9 Cd 0.442 0.884 0.750
10 Cd 0.558 0.116 0.250
11 Cd 0.558 0.442 0.250
12 Cd 0.884 0.442 0.250

Record 8
Entry from Alexandria: an optimized crystal structure of KCaP2O6 (PBE).

Energy: -6.606 eV per atom
Total magnetic moment: 0.42 μB per formula unit

Lattice parameters (Å, degrees): 7.082 7.082 6.038 102.12 102.12 87.49
Sites, in units of the cell vectors:
1 K 0.184 0.816 0.750
2 K 0.816 0.184 0.250
3 Ca 0.386 0.614 0.250
4 Ca 0.614 0.386 0.750
5 P 0.141 0.292 0.767
6 P 0.292 0.141 0.267
7 P 0.708 0.859 0.733
8 P 0.859 0.708 0.233
9 O 0.064 0.629 0.287
10 O 0.145 0.188 0.043
11 O 0.188 0.145 0.543
12 O 0.300 0.450 0.856
13 O 0.371 0.936 0.213
14 O 0.450 0.300 0.356
15 O 0.550 0.700 0.644
16 O 0.629 0.064 0.787
17 O 0.700 0.550 0.144
18 O 0.812 0.855 0.457
19 O 0.855 0.812 0.957
20 O 0.936 0.371 0.713

Record 9
Entry from Alexandria: an optimized crystal structure of ScSeBr (PBE).

Energy: -5.160 eV per atom
Total magnetic moment: 0.00 μB per formula unit

Lattice parameters (Å, degrees): 4.728 4.728 4.728 60.00 60.00 60.00
Sites, in units of the cell vectors:
1 Sc 0.000 0.000 0.000
2 Se 0.250 0.250 0.250
3 Br 0.750 0.750 0.750

Record 10
Entry from Alexandria: an optimized crystal structure of TbV2Tc (PBE).

Energy: -8.137 eV per atom
Total magnetic moment: 0.00 μB per formula unit

Lattice parameters (Å, degrees): 5.697 5.697 5.697 43.23 43.23 43.23
Sites, in units of the cell vectors:
1 Tb 0.000 0.000 0.000
2 V 0.200 0.200 0.200
3 V 0.800 0.800 0.800
4 Tc 0.500 0.500 0.500

Record 11
Entry from Alexandria: an optimized crystal structure of Pr12Sm7Dy (PBE).

Energy: -4.536 eV per atom
Relative energy among the computed polymorphs: 0 meV/atom
Total magnetic moment: 0.00 μB per formula unit

Lattice parameters (Å, degrees): 11.622 11.622 11.622 116.76 116.76 116.76
Sites, in units of the cell vectors:
1 Pr 0.000 0.411 0.589
2 Pr 0.000 0.589 0.411
3 Pr 0.081 0.081 0.435
4 Pr 0.081 0.435 0.081
5 Pr 0.411 0.000 0.589
6 Pr 0.411 0.589 0.000
7 Pr 0.435 0.081 0.081
8 Pr 0.565 0.919 0.919
9 Pr 0.589 0.000 0.411
10 Pr 0.589 0.411 0.000
11 Pr 0.919 0.565 0.919
12 Pr 0.919 0.919 0.565
13 Sm 0.000 0.000 0.000
14 Sm 0.129 0.377 0.377
15 Sm 0.377 0.129 0.377
16 Sm 0.377 0.377 0.129
17 Sm 0.623 0.623 0.871
18 Sm 0.623 0.871 0.623
19 Sm 0.871 0.623 0.623
20 Dy 0.500 0.500 0.500

Record 12
Entry from Alexandria: an optimized crystal structure of SiB2PC (PBE).

Energy: -6.288 eV per atom
Relative energy among the computed polymorphs: 282 meV/atom
Total magnetic moment: 0.00 μB per formula unit

Lattice parameters (Å, degrees): 4.017 4.086 4.087 102.31 96.72 116.55
Sites, in units of the cell vectors:
1 Si 0.000 0.000 0.000
2 B 0.124 0.707 0.534
3 B 0.754 0.266 0.304
4 P 0.373 0.459 0.752
5 C 0.369 0.076 0.405

Record 13
Entry from Alexandria: an optimized crystal structure of BaLaNbCu2 (PBE).

Energy: -3.268 eV per atom
Relative energy among the computed polymorphs: 359 meV/atom
Total magnetic moment: 3.24 μB per formula unit

Lattice parameters (Å, degrees): 5.149 5.149 5.857 90.00 90.00 90.00
Sites, in units of the cell vectors:
1 Ba 0.000 0.000 0.000
2 La 0.000 0.000 0.500
3 Nb 0.500 0.500 0.500
4 Cu 0.000 0.500 0.000
5 Cu 0.500 0.000 0.000

Record 14
Entry from Alexandria: an optimized crystal structure of ThCu2Rh (PBE).

Energy: -6.140 eV per atom
Total magnetic moment: 0.00 μB per formula unit

Lattice parameters (Å, degrees): 4.309 6.894 5.243 90.00 113.36 90.00
Sites, in units of the cell vectors:
1 Th 0.081 0.250 0.173
2 Th 0.919 0.750 0.827
3 Cu 0.383 0.062 0.753
4 Cu 0.383 0.438 0.753
5 Cu 0.617 0.562 0.247
6 Cu 0.617 0.938 0.247
7 Rh 0.197 0.750 0.412
8 Rh 0.803 0.250 0.588

Record 15
Entry from Alexandria: an optimized crystal structure of Y2BeRu2 (PBE).

Energy: -7.309 eV per atom
Relative energy among the computed polymorphs: 83 meV/atom
Total magnetic moment: 0.00 μB per formula unit

Lattice parameters (Å, degrees): 5.898 5.898 6.800 102.53 102.53 54.88
Sites, in units of the cell vectors:
1 Y 0.016 0.275 0.142
2 Y 0.275 0.016 0.642
3 Y 0.725 0.984 0.358
4 Y 0.984 0.725 0.858
5 Be 0.392 0.608 0.250
6 Be 0.608 0.392 0.750
7 Ru 0.245 0.501 0.484
8 Ru 0.499 0.755 0.016
9 Ru 0.501 0.245 0.984
10 Ru 0.755 0.499 0.516

Record 16
Entry from Alexandria: an optimized crystal structure of TmPuPa2S4 (PBE).

Energy: -8.509 eV per atom
Total magnetic moment: 4.77 μB per formula unit

Lattice parameters (Å, degrees): 6.609 3.813 6.954 90.00 108.44 90.00
Sites, in units of the cell vectors:
1 Tm 0.000 0.000 0.000
2 Pu 0.500 0.500 0.000
3 Pa 0.000 0.500 0.500
4 Pa 0.500 0.000 0.500
5 S 0.244 0.500 0.242
6 S 0.249 0.000 0.756
7 S 0.751 0.000 0.244
8 S 0.756 0.500 0.758

Record 17
Entry from Alexandria: an optimized crystal structure of PmSm6Sc4 (PBE).

Energy: -4.991 eV per atom
Total magnetic moment: 0.00 μB per formula unit

Lattice parameters (Å, degrees): 8.772 8.772 5.312 90.00 90.00 120.00
Sites, in units of the cell vectors:
1 Pm 0.000 0.000 0.000
2 Sm 0.196 0.391 0.500
3 Sm 0.196 0.804 0.500
4 Sm 0.532 0.064 0.000
5 Sm 0.532 0.468 0.000
6 Sm 0.609 0.804 0.500
7 Sm 0.936 0.468 0.000
8 Sc 0.333 0.667 0.000
9 Sc 0.430 0.215 0.500
10 Sc 0.785 0.215 0.500
11 Sc 0.785 0.570 0.500

Record 18
Entry from Alexandria: an optimized crystal structure of TbNd5Er6 (PBE).

Energy: -4.635 eV per atom
Total magnetic moment: 0.00 μB per formula unit

Lattice parameters (Å, degrees): 9.479 9.479 9.479 148.83 116.02 72.88
Sites, in units of the cell vectors:
1 Tb 0.000 0.000 0.000
2 Nd 0.165 0.665 0.500
3 Nd 0.333 0.333 0.000
4 Nd 0.500 0.000 0.500
5 Nd 0.667 0.667 0.000
6 Nd 0.835 0.335 0.500
7 Er 0.083 0.834 0.249
8 Er 0.249 0.500 0.749
9 Er 0.416 0.166 0.249
10 Er 0.584 0.834 0.751
11 Er 0.751 0.500 0.251
12 Er 0.917 0.166 0.751

Record 19
Entry from Alexandria: an optimized crystal structure of Pu3In5Se12 (PBE).

Energy: -5.744 eV per atom
Total magnetic moment: 14.99 μB per formula unit

Lattice parameters (Å, degrees): 14.343 14.343 14.343 109.47 109.47 109.47
Sites, in units of the cell vectors:
1 Pu 0.125 0.250 0.375
2 Pu 0.125 0.375 0.750
3 Pu 0.250 0.375 0.125
4 Pu 0.250 0.875 0.625
5 Pu 0.375 0.125 0.250
6 Pu 0.375 0.750 0.125
7 Pu 0.625 0.250 0.875
8 Pu 0.625 0.875 0.750
9 Pu 0.750 0.125 0.375
10 Pu 0.750 0.625 0.875
11 Pu 0.875 0.625 0.250
12 Pu 0.875 0.750 0.625
13 In 0.000 0.000 0.000
14 In 0.000 0.000 0.500
15 In 0.000 0.500 0.000
16 In 0.000 0.500 0.500
17 In 0.125 0.750 0.875
18 In 0.125 0.875 0.250
19 In 0.250 0.125 0.875
20 In 0.250 0.625 0.375
21 In 0.375 0.250 0.625
22 In 0.375 0.625 0.750
23 In 0.500 0.000 0.000
24 In 0.500 0.000 0.500
25 In 0.500 0.500 0.000
26 In 0.500 0.500 0.500
27 In 0.625 0.375 0.250
28 In 0.625 0.750 0.375
29 In 0.750 0.375 0.625
30 In 0.750 0.875 0.125
31 In 0.875 0.125 0.750
32 In 0.875 0.250 0.125
33 Se 0.045 0.218 0.131
34 Se 0.045 0.327 0.914
35 Se 0.086 0.631 0.413
36 Se 0.086 0.955 0.673
37 Se 0.087 0.718 0.673
38 Se 0.087 0.869 0.414
39 Se 0.131 0.045 0.218
40 Se 0.131 0.586 0.913
41 Se 0.173 0.218 0.587
42 Se 0.173 0.455 0.586
43 Se 0.218 0.131 0.045
44 Se 0.218 0.587 0.173
45 Se 0.282 0.327 0.913
46 Se 0.282 0.455 0.369
47 Se 0.327 0.913 0.282
48 Se 0.327 0.914 0.045
49 Se 0.369 0.282 0.455
50 Se 0.369 0.587 0.914
51 Se 0.413 0.086 0.631
52 Se 0.413 0.827 0.782
53 Se 0.414 0.087 0.869
54 Se 0.414 0.827 0.545
55 Se 0.455 0.369 0.282
56 Se 0.455 0.586 0.173
57 Se 0.545 0.414 0.827
58 Se 0.545 0.631 0.718
59 Se 0.586 0.173 0.455
60 Se 0.586 0.913 0.131
61 Se 0.587 0.173 0.218
62 Se 0.587 0.914 0.369
63 Se 0.631 0.413 0.086
64 Se 0.631 0.718 0.545
65 Se 0.673 0.086 0.955
66 Se 0.673 0.087 0.718
67 Se 0.718 0.545 0.631
68 Se 0.718 0.673 0.087
69 Se 0.782 0.413 0.827
70 Se 0.782 0.869 0.955
71 Se 0.827 0.545 0.414
72 Se 0.827 0.782 0.413
73 Se 0.869 0.414 0.087
74 Se 0.869 0.955 0.782
75 Se 0.913 0.131 0.586
76 Se 0.913 0.282 0.327
77 Se 0.914 0.045 0.327
78 Se 0.914 0.369 0.587
79 Se 0.955 0.673 0.086
80 Se 0.955 0.782 0.869